# 1
The following is a GGA-PBE calculation of a relaxed structure of KCaUBr6, from the Alexandria database.

Calculated values
Total DFT energy (no corrections)   -0.3208 Ry per atom
Uncorrected formation energy   -1.65 eV/atom

Unit cell a=7.575 b=7.575 c=14.385 alpha=90.00 beta=90.00 gamma=120.00
Element x y z (fractional)
K (0.000, 0.000, 0.000)
K (0.000, 0.000, 0.500)
Ca (0.333, 0.667, 0.250)
Ca (0.667, 0.333, 0.750)
U (0.667, 0.333, 0.250)
U (0.333, 0.667, 0.750)
Br (0.633, 0.633, 0.135)
Br (0.000, 0.367, 0.135)
Br (0.367, 0.000, 0.635)
Br (0.000, 0.633, 0.865)
Br (0.367, 0.367, 0.365)
Br (0.000, 0.633, 0.365)
Br (0.633, 0.000, 0.865)
Br (0.633, 0.000, 0.365)
Br (0.000, 0.367, 0.635)
Br (0.367, 0.000, 0.135)
Br (0.633, 0.633, 0.635)
Br (0.367, 0.367, 0.865)

=====

# 2
The following is a GGA-PBE calculation of a relaxed structure of LiMgCo2, from the Alexandria database.

Calculated values
Total DFT energy (no corrections)   -0.3081 Ry per atom
E_form   0.95 eV per formula unit

Unit cell a=4.804 b=4.804 c=2.574 alpha=90.00 beta=90.00 gamma=117.50
Element x y z (fractional)
Co (0.000, 0.000, 0.000)
Co (0.500, 0.500, 0.000)
Li (0.500, 0.000, 0.500)
Mg (0.000, 0.500, 0.500)

=====

# 3
The following is a GGA-PBE calculation of a relaxed structure of Dy3Y2Se6, from the Alexandria database.

Calculated values
Total DFT energy (no corrections)   -0.4490 Ry per atom
Uncorrected formation energy   -1.78 eV/atom
ΔE to the lowest computed polymorph   0.0898 eV per atom

Unit cell a=4.113 b=4.113 c=20.233 alpha=84.17 beta=84.17 gamma=60.00
Element x y z (fractional)
Dy (0.000, 0.000, 0.000)
Dy (0.280, 0.280, 0.161)
Dy (0.720, 0.720, 0.839)
Y (0.447, 0.447, 0.660)
Y (0.553, 0.553, 0.340)
Se (0.082, 0.082, 0.754)
Se (0.918, 0.918, 0.246)
Se (0.197, 0.197, 0.410)
Se (0.803, 0.803, 0.590)
Se (0.360, 0.360, 0.919)
Se (0.640, 0.640, 0.081)

=====

# 4
The following is a GGA-PBE calculation of a relaxed structure of KSr2LiAs, from the Alexandria database.

Calculated values
Total DFT energy (no corrections)   -0.1892 Ry per atom
E_form   -1.85 eV per formula unit

Unit cell a=6.219 b=6.219 c=5.359 alpha=90.00 beta=90.00 gamma=90.00
Element x y z (fractional)
Sr (0.000, 0.500, 0.000)
Sr (0.500, 0.000, 0.000)
As (0.000, 0.000, 0.000)
K (0.500, 0.500, 0.500)
Li (0.000, 0.000, 0.500)

=====

# 5
The following is a GGA-PBE calculation of a relaxed structure of PrDy2Tm9, from the Alexandria database.

Calculated values
Total DFT energy (no corrections)   -0.3301 Ry per atom
E_form   0.34 eV per formula unit
ΔE to the lowest computed polymorph   0.0000 eV per atom

Unit cell a=4.973 b=4.973 c=14.907 alpha=90.00 beta=90.00 gamma=90.00
Element x y z (fractional)
Pr (0.000, 0.000, 0.000)
Dy (0.000, 0.000, 0.334)
Dy (0.000, 0.000, 0.666)
Tm (0.500, 0.500, 0.000)
Tm (0.500, 0.500, 0.335)
Tm (0.500, 0.500, 0.665)
Tm (0.500, 0.000, 0.169)
Tm (0.500, 0.000, 0.500)
Tm (0.500, 0.000, 0.831)
Tm (0.000, 0.500, 0.169)
Tm (0.000, 0.500, 0.500)
Tm (0.000, 0.500, 0.831)

=====

# 6
The following is a GGA-PBE calculation of a relaxed structure of Er5Cd2Co2Ag, from the Alexandria database.

Calculated values
Total DFT energy (no corrections)   -0.3251 Ry per atom
E_form   -2.52 eV per formula unit

Unit cell a=3.547 b=11.399 c=11.399 alpha=90.00 beta=90.00 gamma=90.00
Element x y z (fractional)
Er (0.500, 0.209, 0.076)
Er (0.500, 0.791, 0.924)
Er (0.500, 0.076, 0.791)
Er (0.500, 0.709, 0.424)
Er (0.500, 0.924, 0.209)
Er (0.500, 0.291, 0.576)
Er (0.500, 0.576, 0.709)
Er (0.500, 0.424, 0.291)
Er (0.500, 0.500, 0.000)
Er (0.500, 0.000, 0.500)
Cd (0.000, 0.675, 0.175)
Cd (0.000, 0.325, 0.825)
Cd (0.000, 0.175, 0.325)
Cd (0.000, 0.825, 0.675)
Co (0.000, 0.128, 0.628)
Co (0.000, 0.872, 0.372)
Co (0.000, 0.628, 0.872)
Co (0.000, 0.372, 0.128)
Ag (0.000, 0.000, 0.000)
Ag (0.000, 0.500, 0.500)

=====

# 7
The following is a GGA-PBE calculation of a relaxed structure of Y8Ge3Te4Cl, from the Alexandria database.

Calculated values
Total DFT energy (no corrections)   -0.4608 Ry per atom
Uncorrected formation energy   -1.27 eV/atom

Unit cell a=8.460 b=8.594 c=8.460 alpha=119.49 beta=120.00 gamma=90.00
Element x y z (fractional)
Y (0.248, 0.722, 0.975)
Y (0.248, 0.723, 0.496)
Y (0.260, 0.280, 0.520)
Y (0.727, 0.722, 0.975)
Y (0.273, 0.278, 0.025)
Y (0.740, 0.720, 0.480)
Y (0.752, 0.277, 0.504)
Y (0.752, 0.278, 0.025)
Ge (0.500, 0.500, 0.000)
Ge (0.500, 0.500, 0.500)
Ge (0.000, 0.500, 0.500)
Te (0.500, 0.000, 0.000)
Te (0.500, 0.000, 0.500)
Te (0.000, 0.000, 0.000)
Te (0.000, 0.000, 0.500)
Cl (0.000, 0.500, 0.000)

=====

# 8
The following is a GGA-PBE calculation of a relaxed structure of YOs3N, from the Alexandria database.

Calculated values
Total DFT energy (no corrections)   -0.4058 Ry per atom
Uncorrected formation energy   4.17 eV/atom
ΔE to the lowest computed polymorph   3.9037 eV per atom

Unit cell a=5.037 b=5.037 c=5.037 alpha=90.00 beta=90.00 gamma=90.00
Element x y z (fractional)
Y (0.000, 0.000, 0.000)
Os (0.000, 0.500, 0.000)
Os (0.000, 0.000, 0.500)
Os (0.500, 0.000, 0.000)
N (0.500, 0.500, 0.500)

=====

# 9
The following is a GGA-PBE calculation of a relaxed structure of PrSm2UP4, from the Alexandria database.

Calculated values
Total DFT energy (no corrections)   -0.5353 Ry per atom
E_form   -11.12 eV per formula unit

Unit cell a=5.774 b=5.774 c=7.077 alpha=114.08 beta=114.08 gamma=90.00
Element x y z (fractional)
Pr (0.500, 0.500, 0.000)
Sm (0.250, 0.750, 0.500)
Sm (0.000, 0.000, 0.000)
U (0.750, 0.250, 0.500)
P (0.989, 0.489, 0.979)
P (0.511, 0.011, 0.021)
P (0.752, 0.752, 0.504)
P (0.248, 0.248, 0.496)

=====

# 10
The following is a GGA-PBE calculation of a relaxed structure of ZrCoS2, from the Alexandria database.

Calculated values
Total DFT energy (no corrections)   -0.4833 Ry per atom
Uncorrected formation energy   -0.60 eV/atom
ΔE to the lowest computed polymorph   0.1750 eV per atom

Unit cell a=4.401 b=4.401 c=4.401 alpha=60.00 beta=60.00 gamma=60.00
Element x y z (fractional)
S (0.250, 0.250, 0.250)
S (0.750, 0.750, 0.750)
Co (0.000, 0.000, 0.000)
Zr (0.500, 0.500, 0.500)